1.
First-principles (GGA-PBE) data for an optimized crystal structure of Pr3ErZn2, as listed in Alexandria via LeMat-Bulk.

**Electronic total energy**: -22.57 eV/cell
**ΔH_f (0 K)**: -1.12 eV/f.u.

CIF file:
```
data_Pr3ErZn2
_symmetry_space_group_name_H-M 'P 1'
_symmetry_Int_Tables_number 1
_cell_length_a 3.7086
_cell_length_b 3.7086
_cell_length_c 12.3702
_cell_angle_alpha 90.00
_cell_angle_beta 90.00
_cell_angle_gamma 90.00
loop_
_symmetry_equiv_pos_as_xyz
'x,y,z'
loop_
_atom_site_label
_atom_site_type_symbol
_atom_site_fract_x
_atom_site_fract_y
_atom_site_fract_z
Pr1 Pr 0.0000 0.0000 0.2968
Pr2 Pr 0.0000 0.0000 0.0000
Pr3 Pr 0.0000 0.0000 0.7032
Zn1 Zn 0.5000 0.5000 0.8500
Zn2 Zn 0.5000 0.5000 0.1500
Er1 Er 0.5000 0.5000 0.5000
```

2.
First-principles (GGA-PBE) data for an optimized crystal structure of GePOF2, as listed in Alexandria via LeMat-Bulk.

**Electronic total energy**: -22.62 eV/cell
**Energy relative to the elements, uncorrected**: -778 meV/atom

CIF file:
```
data_GePOF2
_symmetry_space_group_name_H-M 'P 1'
_symmetry_Int_Tables_number 1
_cell_length_a 4.4962
_cell_length_b 4.4962
_cell_length_c 3.5077
_cell_angle_alpha 90.00
_cell_angle_beta 90.00
_cell_angle_gamma 90.00
loop_
_symmetry_equiv_pos_as_xyz
'x,y,z'
loop_
_atom_site_label
_atom_site_type_symbol
_atom_site_fract_x
_atom_site_fract_y
_atom_site_fract_z
F1 F 0.0000 0.5000 0.0000
F2 F 0.5000 0.0000 0.0000
Ge1 Ge 0.5000 0.5000 0.5000
O1 O 0.0000 0.0000 0.5000
P1 P 0.0000 0.0000 0.0000
```